The following is a DFT calculation (PBE) of a geometry-optimized ScGe2Os structure.

Summary:
uncorrected energy: -7.227 eV per atom
crystal system: orthorhombic
magnetic moment: 0.00 μB per formula unit
theoretical density: 9.50 g/cm³

a = 9.351 Å, b = 10.392 Å, c = 8.214 Å
α = 90.00°, β = 90.00°, γ = 90.00°
Space group Pbam (No. 55)
Symmetry-distinct sites (fractional):
Sc 0.164 0.178 0.000 x4
Sc 0.177 0.450 0.244 x8
Ge 0.035 0.616 0.000 x4
Ge 0.040 0.615 0.500 x4
Ge 0.134 0.904 0.500 x4
Ge 0.136 0.899 0.000 x4
Ge 0.161 0.181 0.346 x8
Os 0.000 0.000 0.247 x4
Os 0.089 0.737 0.249 x8

The following is a DFT calculation (PBE) of a geometry-optimized ZrSc2Ge3Os3 structure.

Summary:
uncorrected energy: -8.265 eV per atom
crystal system: orthorhombic
magnetic moment: 0.00 μB per formula unit
theoretical density: 10.84 g/cm³

a = 3.592 Å, b = 11.963 Å, c = 6.916 Å
α = 90.00°, β = 90.00°, γ = 90.00°
Space group Amm2 (No. 38)
Symmetry-distinct sites (fractional):
Zr 0.000 0.000 0.000 x2
Sc 0.000 0.203 0.612 x4
Ge 0.000 0.000 0.411 x2
Ge 0.500 0.170 0.906 x4
Os 0.500 0.000 0.661 x2
Os 0.500 0.124 0.280 x4

The following is a DFT calculation (PBE) of a geometry-optimized SiGeOs structure.

Summary:
uncorrected energy: -6.635 eV per atom
crystal system: cubic
magnetic moment: 0.00 μB per formula unit
theoretical density: 10.21 g/cm³

a = 5.741 Å, b = 5.741 Å, c = 5.741 Å
α = 90.00°, β = 90.00°, γ = 90.00°
Space group F-43m (No. 216)
Symmetry-distinct sites (fractional):
Si 0.000 0.000 0.000 x4
Ge 0.250 0.250 0.750 x4
Os 0.250 0.250 0.250 x4

The following is a DFT calculation (PBE) of a geometry-optimized SiGeOs structure.

Summary:
uncorrected energy: -7.021 eV per atom
crystal system: cubic
magnetic moment: 0.00 μB per formula unit
theoretical density: 9.69 g/cm³

a = 5.843 Å, b = 5.843 Å, c = 5.843 Å
α = 90.00°, β = 90.00°, γ = 90.00°
Space group F-43m (No. 216)
Symmetry-distinct sites (fractional):
Si 0.000 0.000 0.000 x4
Ge 0.000 0.000 0.500 x4
Os 0.250 0.250 0.750 x4

The following is a DFT calculation (PBE) of a geometry-optimized Tm2SiGeOs structure.

Summary:
uncorrected energy: -6.858 eV per atom
crystal system: monoclinic
relative energy among the computed polymorphs: 0.0 meV per atom
magnetic moment: 0.01 μB per formula unit
theoretical density: 10.69 g/cm³

a = 10.543 Å, b = 4.207 Å, c = 9.992 Å
α = 90.00°, β = 118.17°, γ = 90.00°
Space group C2/m (No. 12)
Symmetry-distinct sites (fractional):
Tm 0.005 0.000 0.173 x4
Tm 0.186 0.000 0.617 x4
Si 0.141 0.500 0.060 x4
Ge 0.015 0.500 0.376 x4
Os 0.234 0.500 0.874 x4

The following is a DFT calculation (PBE) of a geometry-optimized Tm2SiGeOs structure.

Summary:
uncorrected energy: -6.744 eV per atom
crystal system: monoclinic
relative energy among the computed polymorphs: 113.5 meV per atom
magnetic moment: 0.01 μB per formula unit
theoretical density: 10.59 g/cm³

a = 10.622 Å, b = 4.268 Å, c = 9.878 Å
α = 90.00°, β = 118.24°, γ = 90.00°
Space group C2/m (No. 12)
Symmetry-distinct sites (fractional):
Tm 0.005 0.000 0.180 x4
Tm 0.183 0.000 0.609 x4
Si 0.006 0.500 0.377 x4
Ge 0.141 0.500 0.063 x4
Os 0.226 0.500 0.864 x4

The following is a DFT calculation (PBE) of a geometry-optimized SmGeOs structure.

Summary:
uncorrected energy: -6.823 eV per atom
crystal system: cubic
magnetic moment: 0.00 μB per formula unit
theoretical density: 10.27 g/cm³

a = 6.440 Å, b = 6.440 Å, c = 6.440 Å
α = 90.00°, β = 90.00°, γ = 90.00°
Space group F-43m (No. 216)
Symmetry-distinct sites (fractional):
Sm 0.000 0.000 0.000 x4
Ge 0.000 0.000 0.500 x4
Os 0.250 0.250 0.750 x4

The following is a DFT calculation (PBE) of a geometry-optimized SmGeOs structure.

Summary:
uncorrected energy: -5.983 eV per atom
crystal system: cubic
magnetic moment: 0.00 μB per formula unit
theoretical density: 9.45 g/cm³

a = 6.622 Å, b = 6.622 Å, c = 6.622 Å
α = 90.00°, β = 90.00°, γ = 90.00°
Space group F-43m (No. 216)
Symmetry-distinct sites (fractional):
Sm 0.000 0.000 0.000 x4
Ge 0.250 0.250 0.750 x4
Os 0.250 0.250 0.250 x4

The following is a DFT calculation (PBE) of a geometry-optimized SmTmGe2Os structure.

Summary:
uncorrected energy: -6.617 eV per atom
crystal system: monoclinic
magnetic moment: 0.01 μB per formula unit
theoretical density: 10.39 g/cm³

a = 10.765 Å, b = 4.310 Å, c = 10.230 Å
α = 90.00°, β = 118.09°, γ = 90.00°
Space group C2/m (No. 12)
Symmetry-distinct sites (fractional):
Sm 0.187 0.000 0.113 x4
Tm 0.001 0.000 0.330 x4
Ge 0.010 0.500 0.871 x4
Ge 0.142 0.500 0.563 x4
Os 0.230 0.500 0.372 x4

The following is a DFT calculation (PBE) of a geometry-optimized SnGeOs2 structure.

Summary:
uncorrected energy: -6.737 eV per atom
crystal system: tetragonal
magnetic moment: 0.01 μB per formula unit
theoretical density: 13.07 g/cm³

a = 3.718 Å, b = 3.718 Å, c = 5.258 Å
α = 90.00°, β = 90.00°, γ = 90.00°
Space group P4/mmm (No. 123)
Symmetry-distinct sites (fractional):
Sn 0.000 0.000 0.000 x1
Ge 0.500 0.500 0.500 x1
Os 0.000 0.000 0.500 x1
Os 0.500 0.500 0.000 x1

The following is a DFT calculation (PBE) of a geometry-optimized SnGeOs structure.

Summary:
uncorrected energy: -6.357 eV per atom
crystal system: cubic
magnetic moment: 0.00 μB per formula unit
theoretical density: 10.58 g/cm³

a = 6.210 Å, b = 6.210 Å, c = 6.210 Å
α = 90.00°, β = 90.00°, γ = 90.00°
Space group F-43m (No. 216)
Symmetry-distinct sites (fractional):
Sn 0.000 0.000 0.000 x4
Ge 0.000 0.000 0.500 x4
Os 0.250 0.250 0.750 x4

The following is a DFT calculation (PBE) of a geometry-optimized TaGeOs structure.

Summary:
uncorrected energy: -9.477 eV per atom
crystal system: hexagonal
magnetic moment: 0.00 μB per formula unit
theoretical density: 15.60 g/cm³

a = 4.3113 Å, b = 4.3113 Å, c = 2.9349 Å
α = 90.00°, β = 90.00°, γ = 120.00°
Space group P-6m2 (No. 187)
Symmetry-distinct sites (fractional):
Ta 0.0000 0.0000 0.0000 x1
Ge 0.3333 0.6667 0.5000 x1
Os 0.6667 0.3333 0.5000 x1

The following is a DFT calculation (PBE) of a geometry-optimized Ta2Ge2Os3 structure.

Summary:
uncorrected energy: -9.711 eV per atom
crystal system: trigonal
magnetic moment: 0.00 μB per formula unit
theoretical density: 15.48 g/cm³

a = 4.3399 Å, b = 4.3399 Å, c = 21.2618 Å
α = 90.00°, β = 90.00°, γ = 120.00°
Space group R3m (No. 160, hexagonal axes)
Symmetry-distinct sites (fractional):
Ta 0.0000 0.0000 0.0000 x3
Ta 0.0000 0.0000 0.4902 x3
Ge 0.0000 0.0000 0.2355 x3
Ge 0.0000 0.0000 0.7501 x3
Os 0.0000 0.0000 0.3683 x3
Os 0.0000 0.0000 0.6185 x3
Os 0.0000 0.0000 0.8716 x3

The following is a DFT calculation (PBE) of a geometry-optimized Ta2GeOs structure.

Summary:
uncorrected energy: -9.769 eV per atom
crystal system: cubic
magnetic moment: 0.00 μB per formula unit
theoretical density: 15.92 g/cm³

a = 6.389 Å, b = 6.389 Å, c = 6.389 Å
α = 90.00°, β = 90.00°, γ = 90.00°
Space group F-43m (No. 216)
Symmetry-distinct sites (fractional):
Ta 0.000 0.000 0.000 x4
Ta 0.250 0.250 0.250 x4
Ge 0.000 0.000 0.500 x4
Os 0.250 0.250 0.750 x4

The following is a DFT calculation (PBE) of a geometry-optimized Ta2Ge2Os structure.

Summary:
uncorrected energy: -8.532 eV per atom
crystal system: tetragonal
magnetic moment: 0.22 μB per formula unit
theoretical density: 13.92 g/cm³

a = 3.506 Å, b = 3.506 Å, c = 13.539 Å
α = 90.00°, β = 90.00°, γ = 90.00°
Space group I4/mmm (No. 139)
Symmetry-distinct sites (fractional):
Ta 0.000 0.000 0.101 x4
Ge 0.000 0.500 0.250 x4
Os 0.000 0.000 0.500 x2

The following is a DFT calculation (PBE) of a geometry-optimized TbGeOs structure.

Summary:
uncorrected energy: -6.868 eV per atom
crystal system: cubic
magnetic moment: 0.00 μB per formula unit
theoretical density: 10.90 g/cm³

a = 6.359 Å, b = 6.359 Å, c = 6.359 Å
α = 90.00°, β = 90.00°, γ = 90.00°
Space group F-43m (No. 216)
Symmetry-distinct sites (fractional):
Tb 0.000 0.000 0.000 x4
Ge 0.000 0.000 0.500 x4
Os 0.250 0.250 0.750 x4

The following is a DFT calculation (PBE) of a geometry-optimized Tb3Ge4Os2 structure.

Summary:
uncorrected energy: -6.722 eV per atom
crystal system: monoclinic
magnetic moment: 0.02 μB per formula unit
theoretical density: 10.52 g/cm³

a = 10.772 Å, b = 4.367 Å, c = 8.180 Å
α = 90.00°, β = 109.67°, γ = 90.00°
Space group C2/m (No. 12)
Symmetry-distinct sites (fractional):
Tb 0.000 0.000 0.000 x2
Tb 0.121 0.500 0.699 x4
Ge 0.093 0.000 0.404 x4
Ge 0.213 0.500 0.079 x4
Os 0.181 0.500 0.361 x4

The following is a DFT calculation (PBE) of a geometry-optimized TbYGe2Os structure.

Summary:
uncorrected energy: -7.010 eV per atom
crystal system: monoclinic
magnetic moment: 0.01 μB per formula unit
theoretical density: 9.29 g/cm³

a = 10.831 Å, b = 4.305 Å, c = 10.164 Å
α = 90.00°, β = 118.31°, γ = 90.00°
Space group C2/m (No. 12)
Symmetry-distinct sites (fractional):
Tb 0.185 0.000 0.114 x4
Y 0.005 0.000 0.676 x4
Ge 0.010 0.500 0.874 x4
Ge 0.143 0.500 0.562 x4
Os 0.230 0.500 0.369 x4

The following is a DFT calculation (PBE) of a geometry-optimized TcGeOs2 structure.

Summary:
uncorrected energy: -8.988 eV per atom
crystal system: cubic
magnetic moment: 0.01 μB per formula unit
theoretical density: 15.65 g/cm³

a = 6.162 Å, b = 6.162 Å, c = 6.162 Å
α = 90.00°, β = 90.00°, γ = 90.00°
Space group F-43m (No. 216)
Symmetry-distinct sites (fractional):
Tc 0.000 0.000 0.000 x4
Ge 0.250 0.250 0.750 x4
Os 0.000 0.000 0.500 x4
Os 0.250 0.250 0.250 x4

The following is a DFT calculation (PBE) of a geometry-optimized TcGe2Os structure.

Summary:
uncorrected energy: -7.305 eV per atom
crystal system: cubic
magnetic moment: 0.07 μB per formula unit
theoretical density: 11.75 g/cm³

a = 6.259 Å, b = 6.259 Å, c = 6.259 Å
α = 90.00°, β = 90.00°, γ = 90.00°
Space group F-43m (No. 216)
Symmetry-distinct sites (fractional):
Tc 0.000 0.000 0.000 x4
Ge 0.000 0.000 0.500 x4
Ge 0.250 0.250 0.250 x4
Os 0.250 0.250 0.750 x4

The following is a DFT calculation (PBE) of a geometry-optimized GeTe4Os structure.

Summary:
uncorrected energy: -4.556 eV per atom
crystal system: orthorhombic
magnetic moment: 0.02 μB per formula unit
theoretical density: 7.78 g/cm³

a = 3.972 Å, b = 15.786 Å, c = 10.530 Å
α = 90.00°, β = 90.00°, γ = 90.00°
Space group Cmc2_1 (No. 36)
Symmetry-distinct sites (fractional):
Ge 0.000 0.233 0.000 x4
Te 0.000 0.028 0.272 x4
Te 0.000 0.115 0.512 x4
Te 0.000 0.267 0.256 x4
Te 0.000 0.380 0.557 x4
Os 0.000 0.343 0.817 x4

The following is a DFT calculation (PBE) of a geometry-optimized Th2GeOs structure.

Summary:
uncorrected energy: -8.234 eV per atom
crystal system: monoclinic
magnetic moment: 0.00 μB per formula unit
theoretical density: 12.14 g/cm³

a = 5.985 Å, b = 4.175 Å, c = 8.463 Å
α = 90.00°, β = 109.89°, γ = 90.00°
Space group P2_1/m (No. 11)
Symmetry-distinct sites (fractional):
Th 0.182 0.250 0.406 x2
Th 0.272 0.750 0.052 x2
Ge 0.368 0.750 0.705 x2
Os 0.121 0.250 0.794 x2

The following is a DFT calculation (PBE) of a geometry-optimized ThGe2Os structure.

Summary:
uncorrected energy: -7.517 eV per atom
crystal system: orthorhombic
magnetic moment: 0.00 μB per formula unit
theoretical density: 11.62 g/cm³

a = 4.377 Å, b = 16.281 Å, c = 9.107 Å
α = 90.00°, β = 90.00°, γ = 90.00°
Space group Cmcm (No. 63)
Symmetry-distinct sites (fractional):
Th 0.000 0.000 0.000 x4
Th 0.000 0.208 0.250 x4
Ge 0.000 0.200 0.591 x8
Ge 0.000 0.418 0.250 x4
Ge 0.000 0.426 0.750 x4
Os 0.000 0.358 0.000 x8

The following is a DFT calculation (PBE) of a geometry-optimized TlGe5Os3 structure.

Summary:
uncorrected energy: -6.190 eV per atom
crystal system: hexagonal
magnetic moment: 1.28 μB per formula unit
theoretical density: 9.95 g/cm³

a = 5.2907 Å, b = 5.2907 Å, c = 7.8326 Å
α = 90.00°, β = 90.00°, γ = 120.00°
Space group P6/mmm (No. 191)
Symmetry-distinct sites (fractional):
Tl 0.0000 0.0000 0.0000 x1
Ge 0.0000 0.0000 0.5000 x1
Ge 0.3333 0.6667 0.2268 x4
Os 0.0000 0.5000 0.5000 x3